Record 1
A geometry-optimized BaPrTlPb structure. Source: Alexandria via LeMat-Bulk, functional PBE-GGA.

a b c (Å): 5.836 5.836 5.836
angles (deg): 60.00 60.00 60.00
Sites, in units of the cell vectors:
Ba (0.000, 0.000, 0.000)
Pr (0.500, 0.500, 0.500)
Tl (0.250, 0.250, 0.250)
Pb (0.750, 0.750, 0.750)

Record 2
A geometry-optimized BaPrZnPb structure. Source: Alexandria via LeMat-Bulk, functional PBE-GGA.

a b c (Å): 5.706 5.706 5.706
angles (deg): 60.00 60.00 60.00
Sites, in units of the cell vectors:
Ba (0.000, 0.000, 0.000)
Pr (0.500, 0.500, 0.500)
Zn (0.250, 0.250, 0.250)
Pb (0.750, 0.750, 0.750)

Record 3
A geometry-optimized BaPtPb3 structure. Source: Alexandria via LeMat-Bulk, functional PBE-GGA.

a b c (Å): 6.146 6.146 6.146
angles (deg): 90.00 90.00 90.00
Sites, in units of the cell vectors:
Ba (0.000, 0.000, 0.000)
Pt (0.500, 0.500, 0.500)
Pb (0.000, 0.000, 0.500)
Pb (0.000, 0.500, 0.000)
Pb (0.500, 0.000, 0.000)

The magnetic moment results, record by record, are as follows: 0.00, 0.00, 0.00 μB per atom.
The ΔH_f (0 K) results, record by record, are as follows: -1.49, -1.18, 7.35 eV/f.u..